DFT (PBE-GGA) results for crystalline Hf2ScNbH at its relaxed geometry.

Output
Total DFT energy (no corrections) ... -7.95 eV per atom
DOS(E_F) ... 1.46 states/eV/atom

a b c (Å): 4.689 4.689 3.964
angles (deg): 90.00 90.00 90.00
Fractional positions:
Hf (0.000, 0.500, 0.000)
Sc (0.500, 0.500, 0.500)
Hf (0.500, 0.000, 0.000)
H (0.000, 0.000, 0.000)
Nb (0.000, 0.000, 0.500)

---

DFT (PBE-GGA) results for crystalline Ir2Ru3Rh2 at its relaxed geometry.

Output
Energy relative to the lowest polymorph listed for this composition ... 213 meV/atom
ΔH_f (0 K) ... 319 meV per atom
Total DFT energy (no corrections) ... -8.29 eV per atom
DOS(E_F) ... 1.15 states/eV/atom

a b c (Å): 3.778 7.897 3.833
angles (deg): 76.00 90.01 103.80
Fractional positions:
Rh (0.119, 0.238, 0.381)
Ir (0.622, 0.243, 0.878)
Ru (0.000, 0.000, 0.000)
Ir (0.378, 0.757, 0.122)
Rh (0.881, 0.762, 0.619)
Ru (0.745, 0.489, 0.255)
Ru (0.255, 0.511, 0.745)

---

DFT (PBE-GGA) results for crystalline ZrSc2Pd2 at its relaxed geometry.

Output
Energy relative to the lowest polymorph listed for this composition ... 0 meV/atom
ΔH_f (0 K) ... -611 meV per atom
Total DFT energy (no corrections) ... -6.93 eV per atom
DOS(E_F) ... 1.53 states/eV/atom

a b c (Å): 7.489 7.489 3.542
angles (deg): 90.00 90.00 90.00
Fractional positions:
Sc (0.335, 0.165, 0.500)
Zr (0.000, 0.000, 0.000)
Pd (0.868, 0.632, 0.000)
Sc (0.165, 0.665, 0.500)
Pd (0.632, 0.132, 0.000)
Zr (0.500, 0.500, 0.000)
Pd (0.368, 0.868, 0.000)
Sc (0.835, 0.335, 0.500)
Pd (0.132, 0.368, 0.000)
Sc (0.665, 0.835, 0.500)

---

> The lowest total DFT energy (no corrections) belongs to which entry?

Ir2Ru3Rh2

---

> Among the records above, which one has the lowest DOS(E_F)?

Ir2Ru3Rh2